Computed, not measured: ScAl4Pd7 after structural relaxation at the PBE level of DFT.

Results
M_tot (μB per formula unit): 0.0
ΔH_f (0 K) (eV per atom): -0.664

Structure (CIF):
```
data_ScAl4Pd7
_chemical_formula_sum 'Sc2 Al8 Pd14'
_cell_length_a 11.6639
_cell_length_b 4.6328
_cell_length_c 9.1203
_cell_angle_alpha 90.00
_cell_angle_beta 126.51
_cell_angle_gamma 90.00
_symmetry_space_group_name_H-M 'C 1 2/m 1'
_symmetry_Int_Tables_number 12
loop_
_symmetry_equiv_pos_as_xyz
'x,y,z'
'-x,-y,-z'
'-x,y,-z'
'x,-y,z'
'x+1/2,y+1/2,z'
'-x+1/2,-y+1/2,-z'
'-x+1/2,y+1/2,-z'
'x+1/2,-y+1/2,z'
loop_
_atom_site_label
_atom_site_fract_x
_atom_site_fract_y
_atom_site_fract_z
Sc1 0.0000 0.0000 0.0000
Al1 0.0815 0.5000 0.7874
Al2 0.2081 0.5000 0.3410
Pd1 0.0000 0.5000 0.0000
Pd2 0.0692 0.0000 0.3411
Pd3 0.1522 0.5000 0.5796
Pd4 0.2198 0.0000 0.8697
```